No. 1
VASP calculation (PBE) on crystalline FeBr2NCl at its relaxed geometry.

Cell: 5.803 5.803 3.410 Å, 90.00 90.00 90.00°
Last column: magnetic moment on the atom in μB.
Positions (direct):
Br: 0.000 0.500 0.000  0.06
Br: 0.500 0.000 0.000  0.06
Cl: 0.000 0.000 0.000  0.04
Fe: 0.500 0.500 0.500  3.33
N: 0.000 0.000 0.500  0.11

Properties
Spin magnetization = 3.87 μB/f.u.
E_tot = -14.802 eV for the cell shown
Formation energy from raw total energies = 1.4357 eV/atom
D(E_F) = 1.369 states/eV per atom

---

No. 2
VASP calculation (PBE) on crystalline La2PrYEr2 at its relaxed geometry.

Cell: 5.666 6.963 10.359 Å, 90.00 90.00 90.00°
Positions (direct):
Er: 0.500 0.705 0.626
Er: 0.000 0.312 0.869
Er: 0.500 0.205 0.374
Er: 0.000 0.812 0.131
Y: 0.000 0.955 0.473
Y: 0.000 0.455 0.527
La: 0.500 0.056 0.024
La: 0.000 0.821 0.799
La: 0.500 0.556 0.976
La: 0.000 0.321 0.201
Pr: 0.500 0.698 0.309
Pr: 0.500 0.198 0.691

Properties
Spin magnetization = 0.00 μB/f.u.
E_tot = -59.651 eV for the cell shown
D(E_F) = 1.458 states/eV per atom

---

No. 3
VASP calculation (PBE) on crystalline Ba2FeRh at its relaxed geometry.

Cell: 3.756 3.848 9.029 Å, 63.59 90.00 90.00°
Last column: magnetic moment on the atom in μB.
Positions (direct):
Ba: 0.000 0.016 0.980  -0.05
Ba: 0.000 0.484 0.520  -0.05
Rh: 0.500 0.750 0.750  0.10
Fe: 0.500 0.250 0.250  3.00

Properties
Spin magnetization = 2.90 μB/f.u.
E_tot = -17.680 eV for the cell shown
Energy above the most stable polymorph in this dataset = 0.354 eV per atom
D(E_F) = 1.430 states/eV per atom

---

No. 4
VASP calculation (PBE) on crystalline Li4NdPd2 at its relaxed geometry.

Cell: 4.085 3.896 8.572 Å, 103.14 90.00 90.00°
Positions (direct):
Li: 0.500 0.185 0.371
Li: 0.000 0.324 0.647
Li: 0.000 0.676 0.353
Li: 0.500 0.815 0.629
Pd: 0.500 0.419 0.838
Pd: 0.500 0.581 0.162
Nd: 0.000 0.000 0.000

Properties
Spin magnetization = 0.00 μB/f.u.
E_tot = -25.559 eV for the cell shown
Energy above the most stable polymorph in this dataset = 0.006 eV per atom
D(E_F) = 0.391 states/eV per atom

---

No. 5
VASP calculation (PBE) on crystalline NdDyNi3 at its relaxed geometry.

Cell: 4.012 3.939 12.276 Å, 99.23 90.00 90.00°
Positions (direct):
Ni: 0.750 0.324 0.648
Ni: 0.250 0.378 0.756
Ni: 0.750 0.622 0.244
Ni: 0.250 0.475 0.950
Ni: 0.750 0.525 0.050
Ni: 0.250 0.676 0.352
Dy: 0.250 0.796 0.592
Dy: 0.750 0.204 0.408
Nd: 0.250 0.072 0.144
Nd: 0.750 0.928 0.856

Properties
Spin magnetization = 0.00 μB/f.u.
E_tot = -57.177 eV for the cell shown
D(E_F) = 0.970 states/eV per atom

---

No. 6
VASP calculation (PBE) on crystalline TaFe3Pt at its relaxed geometry.

Cell: 4.581 4.581 4.581 Å, 90.00 90.00 90.00°
Last column: magnetic moment on the atom in μB.
Positions (direct):
Ta: 0.500 0.500 0.500  -1.29
Pt: 0.000 0.000 0.000  0.42
Fe: 0.500 0.000 0.000  2.68
Fe: 0.000 0.500 0.000  3.02
Fe: 0.000 0.000 0.500  3.17

Properties
Spin magnetization = 7.38 μB/f.u.
E_tot = -36.535 eV for the cell shown
Energy above the most stable polymorph in this dataset = 0.000 eV per atom
D(E_F) = 1.181 states/eV per atom